## Cu5Ag3 (PBE-GGA)

Data for a relaxed structure of Cu5Ag3.

Cell and atoms, written as extended XYZ:
```
16
Lattice="8.956 0.000 0.000 0.000 2.757 0.000 -1.928 0.000 9.167" Properties=species:S:1:pos:R:3 pbc="T T T"
Cu 0.000 0.000 0.000
Cu -1.306 1.378 7.141
Cu 1.926 1.378 0.978
Cu 0.623 0.000 8.188
Cu 3.855 0.000 2.026
Cu 4.478 1.378 0.000
Cu 3.172 0.000 7.141
Cu 6.404 0.000 0.978
Cu 5.101 1.378 8.188
Cu 8.333 1.378 2.026
Ag -0.964 0.000 4.583
Ag 1.422 0.000 3.216
Ag 1.128 1.378 5.950
Ag 3.514 1.378 4.583
Ag 5.900 1.378 3.216
Ag 5.606 0.000 5.950
```

Formation energy = 0.590 eV per formula unit



## Cu3Ag2 (PBE-GGA)

Data for a relaxed structure of Cu3Ag2.

Cell and atoms, written as extended XYZ:
```
10
Lattice="4.369 -1.896 0.000 4.369 1.896 0.000 -0.382 0.000 8.643" Properties=species:S:1:pos:R:3 pbc="T T T"
Cu 0.384 0.000 3.209
Cu 1.846 0.000 6.231
Cu 2.885 0.000 3.965
Cu 5.471 0.000 4.678
Cu 6.510 0.000 2.413
Cu 7.972 0.000 5.434
Ag 1.314 0.000 0.540
Ag 3.904 0.000 1.524
Ag 4.452 0.000 7.120
Ag 7.042 0.000 8.104
```

Formation energy = 0.380 eV per formula unit



## Cu3Ag7 (PBE-GGA)

Data for a relaxed structure of Cu3Ag7.

Cell and atoms, written as extended XYZ:
```
10
Lattice="7.047 0.000 0.000 0.000 2.887 0.000 -1.503 0.000 7.967" Properties=species:S:1:pos:R:3 pbc="T T T"
Cu 0.000 0.000 0.000
Cu 0.174 1.443 2.166
Cu 5.336 0.000 3.136
Ag 0.692 0.000 4.460
Ag 0.711 1.443 7.060
Ag 2.375 0.000 1.535
Ag 3.125 1.443 3.846
Ag 3.097 0.000 6.369
Ag 4.844 1.443 0.883
Ag 5.431 1.443 5.523
```

Formation energy = 0.662 eV per formula unit



## Cu2Ag7 (PBE-GGA)

Data for a relaxed structure of Cu2Ag7.

Cell and atoms, written as extended XYZ:
```
9
Lattice="0.000 6.030 6.133 2.032 0.000 6.133 2.032 6.030 0.000" Properties=species:S:1:pos:R:3 pbc="T T T"
Cu 2.032 6.030 2.091
Cu 2.032 6.030 10.176
Ag 2.032 1.977 6.133
Ag 2.032 4.103 4.059
Ag 2.032 7.958 4.059
Ag 2.032 6.030 6.133
Ag 2.032 4.103 8.207
Ag 2.032 7.958 8.207
Ag 2.032 10.084 6.133
```

Formation energy = 0.518 eV per formula unit



## CuAg (PBE-GGA)

Data for a relaxed structure of CuAg.

Cell and atoms, written as extended XYZ:
```
10
Lattice="4.594 -1.396 0.000 4.594 1.396 0.000 -2.034 0.000 11.485" Properties=species:S:1:pos:R:3 pbc="T T T"
Cu 0.000 0.000 0.000
Cu 2.776 0.000 1.173
Cu 3.984 0.000 5.257
Cu 5.367 0.000 1.888
Cu 8.161 0.000 3.099
Ag -0.238 0.000 7.751
Ag 1.469 0.000 4.057
Ag 2.213 0.000 9.102
Ag 4.659 0.000 10.435
Ag 6.504 0.000 6.484
```

Formation energy = 0.151 eV per formula unit



## Cu3Ag5 (PBE-GGA)

Data for a relaxed structure of Cu3Ag5.

Cell and atoms, written as extended XYZ:
```
32
Lattice="5.667 0.000 0.000 -2.803 9.647 0.000 -1.454 -4.144 9.175" Properties=species:S:1:pos:R:3 pbc="T T T"
Cu 0.000 0.000 0.000
Cu -2.830 8.150 2.076
Cu -2.940 3.260 9.159
Cu 0.006 1.683 4.455
Cu 1.380 0.806 2.144
Cu 0.043 8.114 2.213
Cu 0.020 6.544 4.475
Cu 0.043 3.255 9.157
Cu 1.379 4.096 4.505
Cu 2.811 -0.008 6.688
Cu 4.118 -0.822 4.453
Cu 4.145 -2.295 6.671
Ag -2.949 6.532 4.500
Ag -2.897 4.938 6.865
Ag -1.419 5.851 2.209
Ag -1.392 4.124 4.522
Ag -1.464 2.494 6.865
Ag -1.474 0.828 9.052
Ag 0.032 3.246 2.249
Ag -0.126 0.016 6.616
Ag -0.076 -1.747 9.014
Ag 1.347 -0.738 4.294
Ag 1.415 -2.314 6.675
Ag 0.018 9.619 0.018
Ag 0.034 4.955 6.825
Ag 1.391 5.792 2.204
Ag 1.366 2.461 6.760
Ag 1.377 0.811 8.999
Ag 2.822 3.274 2.193
Ag 2.809 1.636 4.493
Ag 2.823 -1.707 9.000
Ag 4.304 0.766 2.271
```

Formation energy = 0.672 eV per formula unit



## Cu8Ag (PBE-GGA)

Data for a relaxed structure of Cu8Ag.

Cell and atoms, written as extended XYZ:
```
9
Lattice="6.706 -1.323 0.000 6.706 1.323 0.000 -0.137 0.000 6.344" Properties=species:S:1:pos:R:3 pbc="T T T"
Cu 0.736 0.000 2.209
Cu 2.311 0.000 0.009
Cu 3.638 0.000 4.222
Cu 5.120 0.000 2.120
Cu 8.156 0.000 4.224
Cu 9.638 0.000 2.123
Cu 10.965 0.000 6.335
Cu 12.540 0.000 4.136
Ag 6.706 0.000 0.000
```

Formation energy = 0.424 eV per formula unit



## CuAg (PBE-GGA)

Data for a relaxed structure of CuAg.

Cell and atoms, written as extended XYZ:
```
10
Lattice="5.879 -1.394 0.000 5.879 1.394 0.000 -1.646 0.000 9.022" Properties=species:S:1:pos:R:3 pbc="T T T"
Cu 0.000 0.000 0.000
Cu 0.699 0.000 2.857
Cu 1.283 0.000 5.261
Cu 5.113 0.000 4.446
Cu 8.661 0.000 3.603
Ag 2.105 0.000 8.145
Ag 4.451 0.000 1.896
Ag 5.716 0.000 7.145
Ag 7.930 0.000 1.000
Ag 9.352 0.000 6.109
```

Formation energy = 0.182 eV per formula unit



## Cu3Ag4 (PBE-GGA)

Data for a relaxed structure of Cu3Ag4.

Cell and atoms, written as extended XYZ:
```
7
Lattice="4.810 0.000 0.000 -0.859 4.751 0.000 -0.849 -0.865 4.715" Properties=species:S:1:pos:R:3 pbc="T T T"
Cu 0.000 0.000 0.000
Cu 0.702 0.145 2.664
Cu 2.400 3.742 2.051
Ag -0.051 2.537 1.353
Ag 0.777 2.702 4.017
Ag 2.325 1.184 0.698
Ag 3.153 1.349 3.362
```

Formation energy = 0.677 eV per formula unit



## Cu5Ag3 (PBE-GGA)

Data for a relaxed structure of Cu5Ag3.

Cell and atoms, written as extended XYZ:
```
8
Lattice="5.621 0.000 0.000 0.000 2.780 0.000 -2.771 0.000 7.244" Properties=species:S:1:pos:R:3 pbc="T T T"
Cu 0.000 0.000 0.000
Cu 0.208 0.000 3.675
Cu 1.362 1.390 1.836
Cu 1.488 1.390 5.408
Cu 2.641 0.000 3.569
Ag -1.445 1.390 5.269
Ag 2.810 0.000 0.000
Ag 4.294 1.390 1.974
```

Formation energy = 0.718 eV per formula unit



## Cu3Ag2 (PBE-GGA)

Data for a relaxed structure of Cu3Ag2.

Cell and atoms, written as extended XYZ:
```
10
Lattice="4.789 0.000 0.000 1.680 5.322 0.000 1.297 1.028 5.618" Properties=species:S:1:pos:R:3 pbc="T T T"
Cu 0.000 0.000 0.000
Cu 6.854 3.505 5.537
Cu 2.370 2.052 3.467
Cu 5.591 5.572 4.450
Cu 4.700 2.695 4.400
Cu 4.738 1.354 2.260
Ag 3.212 4.754 3.520
Ag 2.343 0.672 1.093
Ag 3.215 3.278 0.938
Ag 5.638 3.951 2.241
```

Formation energy = 0.451 eV per formula unit



## Cu3Ag7 (PBE-GGA)

Data for a relaxed structure of Cu3Ag7.

Cell and atoms, written as extended XYZ:
```
10
Lattice="2.030 -10.023 0.000 2.030 10.023 0.000 0.000 0.000 4.002" Properties=species:S:1:pos:R:3 pbc="T T T"
Cu 0.000 0.000 0.000
Cu 2.030 4.075 2.001
Cu 2.030 -4.075 2.001
Ag 2.030 7.995 2.001
Ag 2.030 5.956 0.000
Ag 2.030 2.038 0.000
Ag 2.030 0.000 2.001
Ag 2.030 -2.038 0.000
Ag 2.030 -5.956 0.000
Ag 2.030 -7.995 2.001
```

Formation energy = 0.800 eV per formula unit



## Cu3Ag2 (PBE-GGA)

Data for a relaxed structure of Cu3Ag2.

Cell and atoms, written as extended XYZ:
```
10
Lattice="7.243 -1.388 0.000 7.243 1.388 0.000 -1.893 0.000 7.123" Properties=species:S:1:pos:R:3 pbc="T T T"
Cu 0.893 0.000 2.225
Cu 0.024 0.000 5.644
Cu 3.582 0.000 2.964
Cu 9.011 0.000 4.160
Cu 12.569 0.000 1.479
Cu 11.700 0.000 4.898
Ag 2.658 0.000 6.308
Ag 7.243 0.000 0.000
Ag 6.296 0.000 3.562
Ag 9.935 0.000 0.815
```

Formation energy = 0.485 eV per formula unit



## Cu3Ag7 (PBE-GGA)

Data for a relaxed structure of Cu3Ag7.

Cell and atoms, written as extended XYZ:
```
10
Lattice="2.471 -7.151 0.000 2.471 7.151 0.000 -1.623 0.000 4.627" Properties=species:S:1:pos:R:3 pbc="T T T"
Cu 0.000 0.000 0.000
Cu 2.471 4.293 0.000
Cu 2.471 -4.293 0.000
Ag 1.659 5.726 2.314
Ag 1.659 2.913 2.314
Ag 2.471 1.484 0.000
Ag 1.659 0.000 2.314
Ag 2.471 -1.484 0.000
Ag 1.659 -2.913 2.314
Ag 1.659 -5.726 2.314
```

Formation energy = 0.872 eV per formula unit



## Cu4Ag5 (PBE-GGA)

Data for a relaxed structure of Cu4Ag5.

Cell and atoms, written as extended XYZ:
```
9
Lattice="-1.433 1.754 13.686 1.433 -1.754 13.686 1.433 1.754 -13.686" Properties=species:S:1:pos:R:3 pbc="T T T"
Cu 0.000 0.000 4.981
Cu 0.000 0.000 7.477
Cu 0.000 0.000 19.894
Cu 0.000 0.000 22.390
Ag 0.000 0.000 1.744
Ag 0.000 0.000 10.196
Ag 0.000 0.000 13.686
Ag 0.000 0.000 17.175
Ag 0.000 0.000 25.628
```

Formation energy = 0.566 eV per formula unit



## Cu5Ag3 (PBE-GGA)

Data for a relaxed structure of Cu5Ag3.

Cell and atoms, written as extended XYZ:
```
8
Lattice="2.738 1.581 4.392 -2.738 1.581 4.392 0.000 -3.161 4.392" Properties=species:S:1:pos:R:3 pbc="T T T"
Cu 0.000 0.000 0.000
Cu -1.369 -0.790 4.392
Cu -1.369 0.790 8.784
Cu 0.000 1.581 4.392
Cu 0.000 0.000 6.588
Ag -2.738 0.000 6.588
Ag -1.369 0.790 2.196
Ag 1.369 0.790 2.196
```

Formation energy = 0.943 eV per formula unit



## Cu7Ag2 (PBE-GGA)

Data for a relaxed structure of Cu7Ag2.

Cell and atoms, written as extended XYZ:
```
9
Lattice="-1.356 1.356 16.150 1.356 -1.356 16.150 1.356 1.356 -16.150" Properties=species:S:1:pos:R:3 pbc="T T T"
Cu 0.000 0.000 0.000
Cu 0.000 0.000 3.954
Cu 0.000 0.000 7.248
Cu 0.000 0.000 10.551
Cu 0.000 0.000 21.750
Cu 0.000 0.000 25.052
Cu 0.000 0.000 28.347
Ag 0.000 0.000 14.182
Ag 0.000 0.000 18.119
```

Formation energy = 0.546 eV per formula unit



## Cu3Ag5 (PBE-GGA)

Data for a relaxed structure of Cu3Ag5.

Cell and atoms, written as extended XYZ:
```
16
Lattice="8.951 0.000 0.000 0.000 4.009 0.000 -3.293 0.000 6.986" Properties=species:S:1:pos:R:3 pbc="T T T"
Cu 0.000 0.000 0.000
Cu -0.761 0.000 6.205
Cu 1.944 2.004 0.780
Cu 4.476 2.004 0.000
Cu 3.714 2.004 6.205
Cu 6.420 0.000 0.780
Ag -1.646 0.000 3.493
Ag -0.742 2.004 1.584
Ag 1.057 0.000 2.507
Ag 0.126 2.004 4.479
Ag 1.925 0.000 5.402
Ag 2.829 2.004 3.493
Ag 3.734 0.000 1.584
Ag 4.601 0.000 4.479
Ag 5.533 2.004 2.507
Ag 6.401 2.004 5.402
```

Formation energy = 0.600 eV per formula unit



## Cu3Ag2 (PBE-GGA)

Data for a relaxed structure of Cu3Ag2.

Cell and atoms, written as extended XYZ:
```
10
Lattice="9.416 -1.388 0.000 9.416 1.388 0.000 -0.846 0.000 5.470" Properties=species:S:1:pos:R:3 pbc="T T T"
Cu 0.000 0.000 0.000
Cu -0.363 0.000 2.584
Cu 7.478 0.000 1.073
Cu 10.351 0.000 4.263
Cu 10.825 0.000 1.531
Cu 14.772 0.000 2.091
Ag 3.484 0.000 0.463
Ag 3.099 0.000 3.177
Ag 7.076 0.000 3.715
Ag 14.352 0.000 4.920
```

Formation energy = 0.419 eV per formula unit



## Cu3Ag2 (PBE-GGA)

Data for a relaxed structure of Cu3Ag2.

Cell and atoms, written as extended XYZ:
```
10
Lattice="4.592 -1.400 0.000 4.592 1.400 0.000 -1.704 0.000 11.129" Properties=species:S:1:pos:R:3 pbc="T T T"
Cu 0.000 0.000 0.000
Cu -0.406 0.000 7.744
Cu 1.083 0.000 4.614
Cu 2.430 0.000 9.006
Cu 3.751 0.000 5.606
Cu 7.597 0.000 3.648
Ag 2.570 0.000 1.227
Ag 5.035 0.000 2.441
Ag 4.930 0.000 9.929
Ag 6.284 0.000 6.798
```

Formation energy = 0.459 eV per formula unit